# 1
This record from Alexandria via LeMat-Bulk describes a relaxed LiYGe crystal. The functional is PBE.

a = 5.967 Å, b = 5.967 Å, c = 5.967 Å
α = 147.00°, β = 147.00°, γ = 47.36°
Fractional coordinates of all 3 atoms:
Li 0.000 0.000 0.000
Y 0.290 0.290 0.000
Ge 0.612 0.612 0.000

Computed properties:
* space group: I4mm (107)
* crystal system: tetragonal
* total moment: 0.000 μB per atom
* E above lowest polymorph: 420 meV per atom

# 2
This record from Alexandria via LeMat-Bulk describes a relaxed Li2Y2Ge crystal. The functional is PBE.

a = 6.800 Å, b = 6.800 Å, c = 4.642 Å
α = 90.00°, β = 90.00°, γ = 90.00°
Fractional coordinates of all 10 atoms:
Li 0.133 0.367 0.000
Li 0.367 0.867 0.000
Li 0.633 0.133 0.000
Li 0.867 0.633 0.000
Y 0.184 0.684 0.500
Y 0.316 0.184 0.500
Y 0.684 0.816 0.500
Y 0.816 0.316 0.500
Ge 0.000 0.000 0.000
Ge 0.500 0.500 0.000

Computed properties:
* space group: P4/mbm (127)
* DFT total energy: -4.4889 eV per atom
* crystal system: tetragonal
* total moment: 0.279 μB per atom

# 3
This record from Alexandria via LeMat-Bulk describes a relaxed LiY3Ge crystal. The functional is PBE.

a = 5.529 Å, b = 5.529 Å, c = 5.529 Å
α = 90.00°, β = 90.00°, γ = 90.00°
Fractional coordinates of all 5 atoms:
Li 0.000 0.000 0.000
Y 0.000 0.500 0.500
Y 0.500 0.000 0.500
Y 0.500 0.500 0.000
Ge 0.500 0.500 0.500

Computed properties:
* space group: Pm-3m (221)
* crystal system: cubic
* total moment: 0.473 μB per atom
* E above lowest polymorph: 0 meV per atom

# 4
This record from Alexandria via LeMat-Bulk describes a relaxed LiYGe crystal. The functional is PBE.

a = 8.169 Å, b = 8.169 Å, c = 8.169 Å
α = 31.78°, β = 31.78°, γ = 31.78°
Fractional coordinates of all 6 atoms:
Li 0.000 0.000 0.000
Li 0.162 0.162 0.162
Y 0.586 0.586 0.586
Y 0.741 0.741 0.741
Ge 0.313 0.313 0.313
Ge 0.462 0.462 0.462

Computed properties:
* space group: R3m (160)
* crystal system: trigonal
* total moment: 0.000 μB per atom
* E above lowest polymorph: 243 meV per atom

# 5
This record from Alexandria via LeMat-Bulk describes a relaxed LiYGe crystal. The functional is PBE.

a = 4.182 Å, b = 4.182 Å, c = 7.052 Å
α = 90.00°, β = 90.00°, γ = 90.00°
Fractional coordinates of all 6 atoms:
Li 0.250 0.750 0.000
Li 0.750 0.250 0.000
Y 0.250 0.250 0.332
Y 0.750 0.750 0.668
Ge 0.250 0.250 0.756
Ge 0.750 0.750 0.244

Computed properties:
* space group: P4/nmm (129)
* crystal system: tetragonal
* total moment: 0.000 μB per atom
* E above lowest polymorph: 75 meV per atom

# 6
This record from Alexandria via LeMat-Bulk describes a relaxed LiYGe crystal. The functional is PBE.

a = 5.609 Å, b = 5.609 Å, c = 5.187 Å
α = 90.00°, β = 90.00°, γ = 90.00°
Fractional coordinates of all 6 atoms:
Li 0.250 0.250 0.110
Li 0.750 0.750 0.890
Y 0.250 0.750 0.500
Y 0.750 0.250 0.500
Ge 0.250 0.250 0.632
Ge 0.750 0.750 0.368

Computed properties:
* space group: P4/nmm (129)
* crystal system: tetragonal
* total moment: 0.000 μB per atom
* E above lowest polymorph: 409 meV per atom

# 7
This record from Alexandria via LeMat-Bulk describes a relaxed LiYGe crystal. The functional is PBE.

a = 3.391 Å, b = 4.195 Å, c = 9.328 Å
α = 90.00°, β = 100.42°, γ = 90.00°
Fractional coordinates of all 6 atoms:
Li 0.000 0.000 0.000
Li 0.458 0.500 0.916
Y 0.633 0.500 0.262
Y 0.811 0.500 0.621
Ge 0.212 0.000 0.420
Ge 0.379 0.000 0.756

Computed properties:
* space group: Pm (6)
* crystal system: monoclinic
* total moment: 0.044 μB per atom
* E above lowest polymorph: 370 meV per atom

# 8
This record from Alexandria via LeMat-Bulk describes a relaxed LiYGe crystal. The functional is PBE.

a = 7.556 Å, b = 7.556 Å, c = 5.415 Å
α = 101.86°, β = 101.86°, γ = 29.21°
Fractional coordinates of all 6 atoms:
Li 0.000 0.000 0.000
Li 0.748 0.748 0.121
Y 0.304 0.304 0.642
Y 0.584 0.584 0.534
Ge 0.393 0.393 0.162
Ge 0.932 0.932 0.487

Computed properties:
* space group: Cm (8)
* crystal system: monoclinic
* total moment: 0.000 μB per atom
* E above lowest polymorph: 483 meV per atom

# 9
This record from Alexandria via LeMat-Bulk describes a relaxed Li3YGe2 crystal. The functional is PBE.

a = 8.210 Å, b = 8.210 Å, c = 7.124 Å
α = 113.03°, β = 113.03°, γ = 30.13°
Fractional coordinates of all 12 atoms:
Li 0.065 0.065 0.197
Li 0.308 0.308 0.586
Li 0.365 0.365 0.988
Li 0.635 0.635 0.012
Li 0.692 0.692 0.414
Li 0.935 0.935 0.803
Y 0.127 0.127 0.697
Y 0.873 0.873 0.303
Ge 0.226 0.226 0.183
Ge 0.483 0.483 0.660
Ge 0.517 0.517 0.340
Ge 0.774 0.774 0.817

Computed properties:
* space group: C2/m (12)
* DFT total energy: -4.0557 eV per atom
* crystal system: monoclinic
* total moment: 0.000 μB per atom

# 10
This record from Alexandria via LeMat-Bulk describes a relaxed LiYGe crystal. The functional is PBE.

a = 4.967 Å, b = 4.967 Å, c = 5.954 Å
α = 90.00°, β = 90.00°, γ = 120.00°
Fractional coordinates of all 6 atoms:
Li 0.000 0.000 0.000
Li 0.000 0.000 0.500
Y 0.333 0.667 0.250
Y 0.667 0.333 0.750
Ge 0.333 0.667 0.750
Ge 0.667 0.333 0.250

Computed properties:
* space group: P6_3/mmc (194)
* crystal system: hexagonal
* total moment: 0.000 μB per atom
* E above lowest polymorph: 99 meV per atom

# 11
This record from Alexandria via LeMat-Bulk describes a relaxed LiYGe crystal. The functional is PBE.

a = 4.403 Å, b = 4.403 Å, c = 7.197 Å
α = 90.00°, β = 90.00°, γ = 120.00°
Fractional coordinates of all 6 atoms:
Li 0.333 0.667 0.250
Li 0.667 0.333 0.750
Y 0.000 0.000 0.000
Y 0.000 0.000 0.500
Ge 0.333 0.667 0.750
Ge 0.667 0.333 0.250

Computed properties:
* space group: P6_3/mmc (194)
* crystal system: hexagonal
* total moment: 0.000 μB per atom
* E above lowest polymorph: 54 meV per atom

# 12
This record from Alexandria via LeMat-Bulk describes a relaxed LiYGe crystal. The functional is PBE.

a = 4.413 Å, b = 5.815 Å, c = 5.815 Å
α = 121.28°, β = 90.00°, γ = 90.00°
Fractional coordinates of all 6 atoms:
Li 0.000 0.206 0.794
Li 0.000 0.794 0.206
Y 0.000 0.600 0.600
Y 0.500 0.095 0.095
Ge 0.500 0.514 0.938
Ge 0.500 0.938 0.514

Computed properties:
* space group: Amm2 (38)
* crystal system: orthorhombic
* total moment: 0.000 μB per atom
* E above lowest polymorph: 370 meV per atom